Crystalline K3SiAu4 at its relaxed geometry, computed with PBE.

## Properties
The value obtained for the total magnetization is 0.00 Bohr magnetons per cell. As for the space-group type: Imm2 (44). The calculation puts the energy relative to the elements, uncorrected at -0.29 eV/atom.

abc: 6.788 6.788 6.788
angles: 123.35 106.46 99.61
Positions (direct):
K 0.000 0.000 0.000
K 0.063 0.331 0.733
K 0.598 0.331 0.267
Si 0.392 0.892 0.500
Au 0.455 0.721 0.734
Au 0.574 0.357 0.783
Au 0.574 0.791 0.217
Au 0.987 0.721 0.266